(1)
Material: La3SiP
Method: DFT, PBE
State: relaxed

Properties
* formation energy from raw total energies: -499.9 meV per atom
* SG: Pm-3m, No. 221
* uncorrected energy: -5.623 eV per atom
* Fermi-level density of states: 3.56 states/eV per cell
* energy above the lowest structure with this stoichiometry: 0.0 meV/atom

Unit cell a=5.497 b=5.497 c=5.497 alpha=90.00 beta=90.00 gamma=90.00
Sites, in units of the cell vectors:
La1 0.500 0.000 0.000
La2 0.000 0.500 0.000
P1 0.000 0.000 0.000
Si1 0.500 0.500 0.500
La3 0.000 0.000 0.500

---

(2)
Material: La3Si4P4
Method: DFT, PBE
State: relaxed

Properties
* formation energy from raw total energies: -564.2 meV per atom
* SG: Immm, No. 71
* uncorrected energy: -5.847 eV per atom
* Fermi-level density of states: 4.83 states/eV per cell

Unit cell a=12.186 b=12.186 c=12.186 alpha=159.50 beta=158.94 gamma=29.56
Sites, in units of the cell vectors:
P1 0.251 0.251 0.000
La1 0.354 0.854 0.500
P2 0.094 0.594 0.500
Si1 0.783 0.283 0.500
P3 0.906 0.406 0.500
La2 0.646 0.146 0.500
La3 0.000 0.000 0.000
Si2 0.217 0.717 0.500
Si3 0.551 0.551 0.000
P4 0.749 0.749 0.000
Si4 0.449 0.449 0.000